Here is an optimized crystal structure of Ba2ErNpS6 from Alexandria. Energies are from GGA-PBE.

Lattice parameters (Å, degrees): 7.1956 7.4115 12.5664 90.00 124.92 90.00
With the nearest neighbours (Å) after each atom.
Fractional coordinates of all 20 atoms:
Ba: 0.2361 0.0567 0.2505  7 S 3.19-3.57
Ba: 0.2361 0.4433 0.7505  7 S 3.19-3.57
Ba: 0.7639 0.5567 0.2495  7 S 3.19-3.57
Ba: 0.7639 0.9433 0.7495  7 S 3.19-3.57
Er: 0.5000 0.0000 0.0000  6 S 2.68-2.71
Er: 0.5000 0.5000 0.5000  6 S 2.68-2.71
Np: 0.0000 0.0000 0.5000  6 S 2.60-2.62
Np: 0.0000 0.5000 0.0000  6 S 2.60-2.62
S: 0.1598 0.2113 0.9584  1 Np 2.62, 1 Er 2.69
S: 0.1598 0.2887 0.4584  1 Np 2.62, 1 Er 2.69
S: 0.2488 0.7028 0.9593  1 Np 2.60, 1 Er 2.71
S: 0.2488 0.7972 0.4593  1 Np 2.60, 1 Er 2.71
S: 0.3235 0.0162 0.7457  1 Np 2.60, 1 Er 2.68
S: 0.3235 0.4838 0.2457  1 Np 2.60, 1 Er 2.68
S: 0.6765 0.5162 0.7543  1 Np 2.60, 1 Er 2.68
S: 0.6765 0.9838 0.2543  1 Np 2.60, 1 Er 2.68
S: 0.7512 0.2028 0.5407  1 Np 2.60, 1 Er 2.71
S: 0.7512 0.2972 0.0407  1 Np 2.60, 1 Er 2.71
S: 0.8402 0.7113 0.5416  1 Np 2.62, 1 Er 2.69
S: 0.8402 0.7887 0.0416  1 Np 2.62, 1 Er 2.69

Values from the calculation:
Total DFT energy (no corrections)   -64.1 eV/f.u.
M_tot   4.0 μB per cell
Formation energy without anion corrections   -17.94 eV/f.u.